--- 1 ---
The following is a DFT calculation (PBE) of a geometry-optimized MnInCl2 structure.

a = 3.6463 Å, b = 3.4500 Å, c = 9.6564 Å
α = 77.65°, β = 90.00°, γ = 90.00°
With the nearest neighbours (Å) after each atom.
Fractional coordinates of all 4 atoms:
Mn: 0.5000 0.6950 0.9986  4 Cl 2.37-2.38
Cl: 0.0000 0.8011 0.8377  2 Mn 2.37
Cl: 0.5000 0.0916 0.1725  2 Mn 2.38
In: 0.0000 0.9123 0.4912  3 Cl 3.28-3.52, 4 In 3.45-3.65

Results
SG: Pm
Theoretical density in g/cm³: 3.4
N(E_F) in states/eV/cell: 2.16

***

--- 2 ---
The following is a DFT calculation (PBE) of a geometry-optimized MnInCl2 structure.

a = 9.5733 Å, b = 9.5733 Å, c = 9.5733 Å
α = 21.68°, β = 21.68°, γ = 21.68°
With the nearest neighbours (Å) after each atom.
Fractional coordinates of all 4 atoms:
Cl: 0.0312 0.0312 0.0312  3 Mn 2.54
Cl: 0.4688 0.4688 0.4688  3 Mn 2.54
In: 0.2500 0.2500 0.2500  6 In 3.60, 6 Cl 3.82
Mn: 0.7500 0.7500 0.7500  6 Cl 2.54

Results
SG: R-3m
Theoretical density in g/cm³: 3.8
N(E_F) in states/eV/cell: 2.64

***

Winner for stability: 2

***

--- 1 ---
The following is a DFT calculation (PBE) of a geometry-optimized MnInCl2 structure.

a = 5.1403 Å, b = 5.1403 Å, c = 5.1403 Å
α = 60.00°, β = 60.00°, γ = 60.00°
With the nearest neighbours (Å) after each atom.
Fractional coordinates of all 4 atoms:
In: 0.5000 0.5000 0.5000  8 Cl 3.15
Cl: 0.7500 0.7500 0.7500  4 In 3.15, 4 Mn 3.15
Cl: 0.2500 0.2500 0.2500  4 Mn 3.15, 4 In 3.15
Mn: 0.0000 0.0000 0.0000  8 Cl 3.15

Results
SG: Fm-3m
Theoretical density in g/cm³: 4.2
N(E_F) in states/eV/cell: 5.29

***

--- 2 ---
The following is a DFT calculation (PBE) of a geometry-optimized MnInCl2 structure.

a = 3.5727 Å, b = 3.5727 Å, c = 9.0681 Å
α = 90.00°, β = 90.00°, γ = 117.23°
With the nearest neighbours (Å) after each atom.
Fractional coordinates of all 4 atoms:
In: 0.0000 0.0000 0.5151  2 Cl 2.65, 2 Mn 2.87
Cl: 0.0000 0.0000 0.9210  2 Mn 2.39
Cl: 0.5000 0.5000 0.3074  2 In 2.65
Mn: 0.5000 0.5000 0.7565  2 Cl 2.39

Results
SG: Cmm2
Theoretical density in g/cm³: 3.9
N(E_F) in states/eV/cell: 1.66

***

Winner for stability: 2

***

--- 1 ---
The following is a DFT calculation (PBE) of a geometry-optimized MnInCl6 structure.

a = 6.5462 Å, b = 6.2452 Å, c = 6.9903 Å
α = 59.72°, β = 59.13°, γ = 57.98°
With the nearest neighbours (Å) after each atom.
Fractional coordinates of all 8 atoms:
Mn: 0.0000 0.0000 0.0000  4 Cl 2.29-2.30
Cl: 0.7424 0.1033 0.7425  1 In 2.43, 1 Mn 2.70
Cl: 0.6231 0.2264 0.2341  1 Mn 2.29
Cl: 0.9270 0.6075 0.2342  1 Mn 2.30
Cl: 0.2576 0.8967 0.2575  1 In 2.43, 1 Mn 2.70
Cl: 0.3769 0.7736 0.7659  1 Mn 2.29
Cl: 0.0730 0.3925 0.7658  1 Mn 2.30
In: 0.5000 0.5000 0.5000  6 Cl 2.43-2.69

Results
SG: P-1
Theoretical density in g/cm³: 3.2

***

--- 2 ---
The following is a DFT calculation (PBE) of a geometry-optimized MnInCl6 structure.

a = 6.3292 Å, b = 7.7732 Å, c = 7.7732 Å
α = 67.08°, β = 74.25°, γ = 105.75°
With the nearest neighbours (Å) after each atom.
Fractional coordinates of all 8 atoms:
Cl: 0.1473 0.7444 0.0000  1 Mn 2.41, 1 In 2.55
Cl: 0.1473 0.0000 0.2556  1 Mn 2.41, 1 In 2.55
Cl: 0.8527 0.0000 0.7444  1 Mn 2.41, 1 In 2.55
Cl: 0.4029 0.2556 0.7444  1 Mn 2.41, 1 In 2.55
Cl: 0.5970 0.7444 0.2556  1 Mn 2.41, 1 In 2.55
Cl: 0.8527 0.2556 0.0000  1 Mn 2.41, 1 In 2.55
In: 0.5000 0.0000 0.0000  6 Cl 2.55
Mn: 0.0000 0.0000 0.0000  6 Cl 2.41

Results
SG: R-3m
Theoretical density in g/cm³: 2.1
N(E_F) in states/eV/cell: 6.88

***

Winner for stability: 2